Compound: NdHo2Br
Source: the Alexandria database
Functional: PBE
Structure: relaxed

Geometry as POSCAR:
```
NdHo2Br
1.0
1.747 1.009 11.490
-1.747 1.009 11.490
0.000 -2.018 11.490
Nd Ho Br
1 2 1
Direct
0.000 0.000 0.000
0.098 0.098 0.098
0.902 0.902 0.902
0.500 0.500 0.500
```

Properties
E_form (uncorrected) ... -0.9 eV/f.u.